[1]
This record from Alexandria describes a geometry-optimized Na2YSnI structure. The functional is GGA-PBE.

a = 5.686 Å, b = 6.289 Å, c = 5.686 Å
α = 90.00°, β = 90.00°, γ = 90.00°
Fractional positions:
Y  0.500  0.500  0.500
Na  0.500  0.000  0.000
Na  0.000  0.000  0.500
I  0.000  0.500  0.000
Sn  0.000  0.000  0.000

crystal system	tetragonal
ΔE_f (raw)	388	meV per atom
calculated density	3.108	Mg/m³
spin magnetization	0.00	μB per formula unit

---

[2]
This record from Alexandria describes a geometry-optimized NaZnSn2I structure. The functional is GGA-PBE.

a = 5.130 Å, b = 6.799 Å, c = 5.130 Å
α = 90.00°, β = 90.00°, γ = 90.00°
Fractional positions:
Sn  0.000  0.000  0.500
Sn  0.500  0.000  0.000
Na  0.500  0.500  0.500
Zn  0.000  0.000  0.000
I  0.000  0.500  0.000

crystal system	tetragonal
ΔE_f (raw)	85	meV per atom
calculated density	4.202	Mg/m³
spin magnetization	0.00	μB per formula unit

---

[3]
This record from Alexandria describes a geometry-optimized NaSrI structure. The functional is GGA-PBE.

a = 4.638 Å, b = 4.638 Å, c = 16.125 Å
α = 81.73°, β = 81.73°, γ = 60.00°
Fractional positions:
I  0.291  0.291  0.127
I  0.709  0.709  0.873
Sr  0.416  0.416  0.752
Sr  0.584  0.584  0.248
Na  0.143  0.143  0.571
Na  0.857  0.857  0.429

crystal system	trigonal
ΔE_f (raw)	-719	meV per atom
calculated density	2.663	Mg/m³
spin magnetization	0.00	μB per formula unit
excess energy over the best structure of this formula in the dataset	0.11	eV per formula unit

---

[4]
This record from Alexandria describes a geometry-optimized NaSrI3 structure. The functional is GGA-PBE.

a = 6.425 Å, b = 6.425 Å, c = 6.425 Å
α = 90.00°, β = 90.00°, γ = 90.00°
Fractional positions:
Sr  0.000  0.000  0.000
I  0.500  0.000  0.000
I  0.000  0.500  0.000
I  0.000  0.000  0.500
Na  0.500  0.500  0.500

crystal system	cubic
ΔE_f (raw)	-1301	meV per atom
calculated density	3.076	Mg/m³
spin magnetization	0.00	μB per formula unit

---

[5]
This record from Alexandria describes a geometry-optimized NaSrI structure. The functional is GGA-PBE.

a = 4.114 Å, b = 4.114 Å, c = 7.985 Å
α = 104.93°, β = 104.93°, γ = 90.00°
Fractional positions:
Sr  0.685  0.685  0.369
Na  0.999  0.999  0.997
I  0.317  0.317  0.634

crystal system	tetragonal
ΔE_f (raw)	-722	meV per atom
calculated density	3.133	Mg/m³
spin magnetization	0.00	μB per formula unit
excess energy over the best structure of this formula in the dataset	0.10	eV per formula unit

---

[6]
This record from Alexandria describes a geometry-optimized Na2Sr2I structure. The functional is GGA-PBE.

a = 8.586 Å, b = 8.586 Å, c = 6.082 Å
α = 90.00°, β = 90.00°, γ = 90.00°
Fractional positions:
I  0.000  0.000  0.000
I  0.500  0.500  0.000
Na  0.136  0.364  0.000
Na  0.636  0.136  0.000
Na  0.364  0.864  0.000
Na  0.864  0.636  0.000
Sr  0.166  0.666  0.500
Sr  0.334  0.166  0.500
Sr  0.666  0.834  0.500
Sr  0.834  0.334  0.500

crystal system	tetragonal
ΔE_f (raw)	-257	meV per atom
calculated density	2.579	Mg/m³
spin magnetization	0.00	μB per formula unit
excess energy over the best structure of this formula in the dataset	0.38	eV per formula unit

---

[7]
This record from Alexandria describes a geometry-optimized Na2Sr2I structure. The functional is GGA-PBE.

a = 9.052 Å, b = 9.052 Å, c = 5.868 Å
α = 90.00°, β = 90.00°, γ = 90.00°
Fractional positions:
Na  0.365  0.135  0.500
Na  0.135  0.635  0.500
Na  0.865  0.365  0.500
Na  0.635  0.865  0.500
Sr  0.165  0.335  0.000
Sr  0.665  0.165  0.000
Sr  0.335  0.835  0.000
Sr  0.835  0.665  0.000
I  0.500  0.500  0.000
I  0.000  0.000  0.000

crystal system	tetragonal
ΔE_f (raw)	-332	meV per atom
calculated density	2.405	Mg/m³
spin magnetization	0.00	μB per formula unit
excess energy over the best structure of this formula in the dataset	0.00	eV per formula unit

---

[8]
This record from Alexandria describes a geometry-optimized Na3SrI6 structure. The functional is GGA-PBE.

a = 4.677 Å, b = 13.198 Å, c = 13.408 Å
α = 106.58°, β = 90.00°, γ = 90.00°
Fractional positions:
Sr  0.750  0.046  0.700
Sr  0.250  0.954  0.300
Na  0.750  0.685  0.519
Na  0.250  0.551  0.155
Na  0.250  0.315  0.481
Na  0.750  0.449  0.845
Na  0.750  0.170  0.087
Na  0.250  0.830  0.913
I  0.250  0.898  0.545
I  0.750  0.750  0.274
I  0.750  0.923  0.102
I  0.750  0.102  0.455
I  0.250  0.607  0.941
I  0.750  0.807  0.753
I  0.250  0.077  0.898
I  0.750  0.393  0.059
I  0.750  0.448  0.605
I  0.250  0.193  0.247
I  0.250  0.552  0.395
I  0.250  0.250  0.726

crystal system	monoclinic
ΔE_f (raw)	-1160	meV per atom
calculated density	3.843	Mg/m³
spin magnetization	0.00	μB per formula unit

---

[9]
This record from Alexandria describes a geometry-optimized NaSrI2 structure. The functional is GGA-PBE.

a = 4.142 Å, b = 4.142 Å, c = 8.192 Å
α = 90.00°, β = 90.00°, γ = 90.00°
Fractional positions:
Na  0.500  0.500  0.500
I  0.000  0.000  0.238
I  0.000  0.000  0.762
Sr  0.500  0.500  0.000

crystal system	tetragonal
ΔE_f (raw)	-1069	meV per atom
calculated density	4.306	Mg/m³
spin magnetization	0.00	μB per formula unit
excess energy over the best structure of this formula in the dataset	0.41	eV per formula unit

---

[10]
This record from Alexandria describes a geometry-optimized NaSr2I6 structure. The functional is GGA-PBE.

a = 7.951 Å, b = 8.621 Å, c = 10.739 Å
α = 90.00°, β = 93.08°, γ = 90.00°
Fractional positions:
Sr  0.456  0.125  0.262
Sr  0.544  0.875  0.738
Sr  0.044  0.625  0.238
Sr  0.956  0.375  0.762
I  0.327  0.826  0.429
I  0.673  0.174  0.571
I  0.173  0.326  0.071
I  0.827  0.674  0.929
I  0.678  0.170  0.933
I  0.178  0.330  0.433
I  0.674  0.453  0.263
I  0.326  0.547  0.737
I  0.822  0.670  0.567
I  0.174  0.047  0.763
I  0.826  0.953  0.237
I  0.322  0.830  0.067
Na  0.500  0.500  0.000
Na  0.000  0.000  0.500

crystal system	monoclinic
ΔE_f (raw)	-1299	meV per atom
calculated density	4.336	Mg/m³
spin magnetization	0.00	μB per formula unit

---

[11]
This record from Alexandria describes a geometry-optimized NaSrI3 structure. The functional is GGA-PBE.

a = 4.342 Å, b = 8.358 Å, c = 8.375 Å
α = 60.05°, β = 89.98°, γ = 90.01°
Fractional positions:
Sr  0.220  0.099  0.062
Na  0.220  0.433  0.397
I  0.720  0.177  0.316
I  0.720  0.767  0.139
I  0.721  0.354  0.730

crystal system	monoclinic
ΔE_f (raw)	-1504	meV per atom
calculated density	3.098	Mg/m³
spin magnetization	0.00	μB per formula unit

---

[12]
This record from Alexandria describes a geometry-optimized NaSr2I5 structure. The functional is GGA-PBE.

a = 6.506 Å, b = 8.572 Å, c = 15.965 Å
α = 90.00°, β = 90.00°, γ = 112.30°
Fractional positions:
I  0.235  0.470  0.750
I  0.948  0.896  0.878
I  0.684  0.368  0.936
I  0.765  0.530  0.250
I  0.316  0.632  0.064
I  0.052  0.104  0.122
I  0.684  0.368  0.564
I  0.052  0.104  0.378
I  0.316  0.632  0.436
I  0.948  0.896  0.622
Sr  0.858  0.717  0.439
Sr  0.858  0.717  0.061
Sr  0.142  0.283  0.939
Sr  0.142  0.283  0.561
Na  0.793  0.586  0.750
Na  0.207  0.414  0.250

crystal system	orthorhombic
ΔE_f (raw)	-1559	meV per atom
calculated density	3.357	Mg/m³
spin magnetization	0.00	μB per formula unit